Record 1
The following is a DFT calculation (PBE) of an optimized crystal structure of CrBiBr2.

Cell: 11.251 11.251 11.251 Å, 18.42 18.42 18.42°
Sites, in units of the cell vectors:
Cr1 0.000 0.000 0.000
Bi1 0.500 0.500 0.500
Br1 0.382 0.382 0.382
Br2 0.618 0.618 0.618

- polymorph energy (0 for the lowest one) (meV per atom) = 0
- formation energy from raw total energies (meV/atom) = -212
- energy (eV per cell) = -17.698

***

Record 2
The following is a DFT calculation (PBE) of an optimized crystal structure of P2PbF2.

Cell: 8.129 8.129 2.799 Å, 90.00 90.00 90.00°
Sites, in units of the cell vectors:
P1 0.241 0.259 0.000
P2 0.259 0.759 0.000
P3 0.741 0.241 0.000
P4 0.759 0.741 0.000
Pb1 0.000 0.000 0.500
Pb2 0.500 0.500 0.500
F1 0.123 0.623 0.500
F2 0.377 0.123 0.500
F3 0.623 0.877 0.500
F4 0.877 0.377 0.500

- polymorph energy (0 for the lowest one) (meV per atom) = 780
- formation energy from raw total energies (meV/atom) = -212
- energy (eV per cell) = -38.661

***

Record 3
The following is a DFT calculation (PBE) of an optimized crystal structure of Pr3Sm4Mg.

Cell: 13.237 13.237 6.008 Å, 96.43 96.43 15.14°
Sites, in units of the cell vectors:
Pr1 0.000 0.000 0.000
Pr2 0.149 0.149 0.214
Pr3 0.851 0.851 0.786
Sm1 0.101 0.101 0.689
Sm2 0.282 0.282 0.264
Sm3 0.718 0.718 0.736
Sm4 0.899 0.899 0.311
Mg1 0.500 0.500 0.500

- polymorph energy (0 for the lowest one) (meV per atom) = 158
- energy (eV per cell) = -33.488
- energy of formation (eV/atom) = 0.165

***

Record 4
The following is a DFT calculation (PBE) of an optimized crystal structure of Ta3SiF.

Cell: 4.263 4.263 4.263 Å, 90.00 90.00 90.00°
Sites, in units of the cell vectors:
Ta1 0.000 0.000 0.500
Ta2 0.000 0.500 0.000
Ta3 0.500 0.000 0.000
Si1 0.500 0.500 0.500
F1 0.000 0.000 0.000

- polymorph energy (0 for the lowest one) (meV per atom) = 0
- formation energy from raw total energies (meV/atom) = 171
- energy (eV per cell) = -41.995

***

Record 5
The following is a DFT calculation (PBE) of an optimized crystal structure of CaIn2Hg2.

Cell: 7.395 7.395 7.395 Å, 144.64 144.64 50.86°
Sites, in units of the cell vectors:
Ca1 0.000 0.000 0.000
In1 0.250 0.750 0.500
In2 0.750 0.250 0.500
Hg1 0.396 0.396 0.000
Hg2 0.604 0.604 0.000

- energy (eV per cell) = -9.305
- energy of formation (eV/atom) = -0.245

***

Record 6
The following is a DFT calculation (PBE) of an optimized crystal structure of Ga2NiRu.

Cell: 3.041 3.041 5.730 Å, 90.00 90.00 90.00°
Sites, in units of the cell vectors:
Ga1 0.000 0.000 0.247
Ga2 0.000 0.000 0.753
Ni1 0.500 0.500 0.000
Ru1 0.500 0.500 0.500

- energy (eV per cell) = -22.580
- energy of formation (eV/atom) = -0.367

***

Record 7
The following is a DFT calculation (PBE) of an optimized crystal structure of KLiSnCl4.

Cell: 7.130 7.272 8.592 Å, 90.00 108.98 90.00°
Sites, in units of the cell vectors:
K1 0.249 0.250 0.457
K2 0.751 0.750 0.543
Li1 0.242 0.750 0.183
Li2 0.758 0.250 0.817
Sn1 0.286 0.250 0.981
Sn2 0.714 0.750 0.019
Cl1 0.018 0.750 0.911
Cl2 0.030 0.750 0.336
Cl3 0.463 0.001 0.229
Cl4 0.463 0.499 0.229
Cl5 0.537 0.501 0.771
Cl6 0.537 0.999 0.771
Cl7 0.970 0.250 0.664
Cl8 0.982 0.250 0.089

- formation energy from raw total energies (meV/atom) = -1493
- energy (eV per cell) = -49.703

***

Record 8
The following is a DFT calculation (PBE) of an optimized crystal structure of CaCdC2S.

Cell: 4.112 4.112 4.987 Å, 90.00 90.00 90.00°
Sites, in units of the cell vectors:
Ca1 0.000 0.000 0.000
Cd1 0.500 0.500 0.000
C1 0.000 0.500 0.500
C2 0.500 0.000 0.500
S1 0.500 0.500 0.500

- formation energy from raw total energies (meV/atom) = 1818
- energy (eV per cell) = -16.402

***

Record 9
The following is a DFT calculation (PBE) of an optimized crystal structure of ReSiN2.

Cell: 6.235 6.235 6.235 Å, 25.75 25.75 25.75°
Sites, in units of the cell vectors:
Re1 0.000 0.000 0.000
Si1 0.500 0.500 0.500
N1 0.110 0.110 0.110
N2 0.890 0.890 0.890

- formation energy from raw total energies (meV/atom) = -224
- energy (eV per cell) = -35.419

***

Record 10
The following is a DFT calculation (PBE) of an optimized crystal structure of GeBAu2Br.

Cell: 5.285 5.285 4.015 Å, 90.00 90.00 90.00°
Sites, in units of the cell vectors:
Ge1 0.000 0.000 0.000
B1 0.500 0.500 0.000
Au1 0.000 0.500 0.500
Au2 0.500 0.000 0.500
Br1 0.500 0.500 0.500

- formation energy from raw total energies (meV/atom) = 1562
- energy (eV per cell) = -11.710

***

Record 11
The following is a DFT calculation (PBE) of an optimized crystal structure of TbTmMg3.

Cell: 8.912 8.912 8.912 Å, 40.66 40.66 40.66°
Sites, in units of the cell vectors:
Tb1 0.068 0.068 0.068
Tb2 0.932 0.932 0.932
Tm1 0.335 0.335 0.335
Tm2 0.665 0.665 0.665
Mg1 0.111 0.621 0.621
Mg2 0.379 0.379 0.889
Mg3 0.379 0.889 0.379
Mg4 0.621 0.111 0.621
Mg5 0.621 0.621 0.111
Mg6 0.889 0.379 0.379

- polymorph energy (0 for the lowest one) (meV per atom) = 77
- energy (eV per cell) = -27.514
- energy of formation (eV/atom) = 0.026

***

Record 12
The following is a DFT calculation (PBE) of an optimized crystal structure of LaHf3B.

Cell: 4.778 4.778 4.778 Å, 90.00 90.00 90.00°
Sites, in units of the cell vectors:
La1 0.000 0.000 0.000
Hf1 0.000 0.500 0.500
Hf2 0.500 0.000 0.500
Hf3 0.500 0.500 0.000
B1 0.500 0.500 0.500

- polymorph energy (0 for the lowest one) (meV per atom) = 0
- energy (eV per cell) = -41.051
- energy of formation (eV/atom) = 0.083

***

Record 13
The following is a DFT calculation (PBE) of an optimized crystal structure of SmBi2Ir.

Cell: 10.282 10.282 10.282 Å, 20.63 20.63 20.63°
Sites, in units of the cell vectors:
Sm1 0.000 0.000 0.000
Bi1 0.108 0.108 0.108
Bi2 0.892 0.892 0.892
Ir1 0.500 0.500 0.500

- energy (eV per cell) = -20.764
- energy of formation (eV/atom) = 0.145

***

Record 14
The following is a DFT calculation (PBE) of an optimized crystal structure of CaBe2Mo.

Cell: 4.475 4.475 5.795 Å, 98.31 98.31 35.62°
Sites, in units of the cell vectors:
Ca1 0.000 0.000 0.000
Be1 0.241 0.241 0.643
Be2 0.759 0.759 0.357
Mo1 0.500 0.500 0.500

- polymorph energy (0 for the lowest one) (meV per atom) = 234
- energy (eV per cell) = -18.310
- energy of formation (eV/atom) = 0.494

***

Record 15
The following is a DFT calculation (PBE) of an optimized crystal structure of KTaHg2.

Cell: 5.573 5.573 2.953 Å, 90.00 90.00 90.15°
Sites, in units of the cell vectors:
K1 0.000 0.000 0.000
Ta1 0.500 0.500 0.000
Hg1 0.000 0.500 0.500
Hg2 0.500 0.000 0.500

- polymorph energy (0 for the lowest one) (meV per atom) = 70
- energy (eV per cell) = -11.755
- energy of formation (eV/atom) = 0.450

***

Record 16
The following is a DFT calculation (PBE) of an optimized crystal structure of Ac3Al2Ni9.

Cell: 8.182 8.182 8.182 Å, 151.37 106.04 81.14°
Sites, in units of the cell vectors:
Ac1 0.000 0.000 0.000
Ac2 0.299 0.299 0.000
Ac3 0.701 0.701 0.000
Al1 0.284 0.500 0.784
Al2 0.716 0.500 0.216
Ni1 0.008 0.304 0.704
Ni2 0.176 0.895 0.281
Ni3 0.386 0.105 0.281
Ni4 0.401 0.696 0.704
Ni5 0.500 0.000 0.500
Ni6 0.599 0.304 0.296
Ni7 0.614 0.895 0.719
Ni8 0.824 0.105 0.719
Ni9 0.992 0.696 0.296

- energy (eV per cell) = -76.418
- energy of formation (eV/atom) = -0.327

***

Record 17
The following is a DFT calculation (PBE) of an optimized crystal structure of Tm3SnS6.

Cell: 8.426 8.426 6.641 Å, 90.00 90.00 102.71°
Sites, in units of the cell vectors:
Tm1 0.095 0.905 0.500
Tm2 0.210 0.415 0.599
Tm3 0.415 0.210 0.099
Tm4 0.585 0.790 0.599
Tm5 0.790 0.585 0.099
Tm6 0.905 0.095 0.000
Sn1 0.326 0.674 0.110
Sn2 0.674 0.326 0.610
S1 0.066 0.599 0.315
S2 0.134 0.196 0.295
S3 0.196 0.134 0.795
S4 0.270 0.730 0.739
S5 0.401 0.934 0.315
S6 0.491 0.509 0.369
S7 0.509 0.491 0.869
S8 0.599 0.066 0.815
S9 0.730 0.270 0.239
S10 0.804 0.866 0.295
S11 0.866 0.804 0.795
S12 0.934 0.401 0.815

- formation energy from raw total energies (meV/atom) = -1586
- energy (eV per cell) = -116.087

***

Record 18
The following is a DFT calculation (PBE) of an optimized crystal structure of LaPmCd6.

Cell: 4.996 6.775 6.775 Å, 63.31 90.00 90.00°
Sites, in units of the cell vectors:
La1 0.000 0.000 0.000
Pm1 0.500 0.702 0.702
Cd1 0.000 0.043 0.484
Cd2 0.000 0.484 0.043
Cd3 0.000 0.521 0.521
Cd4 0.500 0.186 0.186
Cd5 0.500 0.221 0.655
Cd6 0.500 0.655 0.221

- energy (eV per cell) = -17.631
- energy of formation (eV/atom) = -0.308

***

Record 19
The following is a DFT calculation (PBE) of an optimized crystal structure of GaHgNF2.

Cell: 4.354 4.354 5.966 Å, 90.00 90.00 90.00°
Sites, in units of the cell vectors:
Ga1 0.000 0.000 0.000
Hg1 0.000 0.000 0.500
N1 0.500 0.500 0.000
F1 0.000 0.500 0.500
F2 0.500 0.000 0.500

- polymorph energy (0 for the lowest one) (meV per atom) = 1066
- formation energy from raw total energies (meV/atom) = 299
- energy (eV per cell) = -13.904

***

Record 20
The following is a DFT calculation (PBE) of an optimized crystal structure of Zr2Zn3Pd.

Cell: 9.053 8.348 5.375 Å, 79.32 64.99 35.69°
Sites, in units of the cell vectors:
Zr1 0.246 0.754 0.754
Zr2 0.250 0.250 0.250
Zr3 0.750 0.750 0.750
Zr4 0.754 0.246 0.246
Zn1 0.170 0.666 0.334
Zn2 0.334 0.830 0.170
Zn3 0.335 0.335 0.665
Zn4 0.665 0.665 0.335
Zn5 0.666 0.170 0.830
Zn6 0.830 0.334 0.666
Pd1 0.167 0.167 0.833
Pd2 0.833 0.833 0.167

- polymorph energy (0 for the lowest one) (meV per atom) = 0
- energy (eV per cell) = -57.157
- energy of formation (eV/atom) = -0.411